[1]
Density functional theory data (PBE-GGA) for crystalline La2TiPtN at its relaxed geometry.

## Properties
Spin magnetization   0.984 μB/cell
DOS at the Fermi energy   3.99 states/eV/f.u.
E   -7.377 eV/atom
Space-group type   No. 123

Unit cell a=5.195 b=5.195 c=3.989 alpha=90.00 beta=90.00 gamma=90.00
Element x y z (fractional)
La 0.500 0.000 0.000
Pt 0.500 0.500 0.500
N 0.000 0.000 0.000
La 0.000 0.500 0.000
Ti 0.000 0.000 0.500



[2]
Density functional theory data (PBE-GGA) for crystalline La2VPtN at its relaxed geometry.

## Properties
Spin magnetization   2.063 μB/cell
DOS at the Fermi energy   2.61 states/eV/f.u.
E   -7.550 eV/atom
Space-group type   No. 123

Unit cell a=5.217 b=5.217 c=3.866 alpha=90.00 beta=90.00 gamma=90.00
Element x y z (fractional)
La 0.500 0.000 0.000
N 0.000 0.000 0.000
V 0.000 0.000 0.500
Pt 0.500 0.500 0.500
La 0.000 0.500 0.000



[3]
Density functional theory data (PBE-GGA) for crystalline La2YPtN at its relaxed geometry.

## Properties
Spin magnetization   0.001 μB/cell
DOS at the Fermi energy   5.56 states/eV/f.u.
E   -7.051 eV/atom
Space-group type   No. 123

Unit cell a=5.070 b=5.070 c=4.628 alpha=90.00 beta=90.00 gamma=90.00
Element x y z (fractional)
La 0.000 0.500 0.000
N 0.000 0.000 0.000
Pt 0.500 0.500 0.500
La 0.500 0.000 0.000
Y 0.000 0.000 0.500



[4]
Density functional theory data (PBE-GGA) for crystalline LaZnPtN at its relaxed geometry.

## Properties
Spin magnetization   0.000 μB/cell
DOS at the Fermi energy   1.59 states/eV/f.u.
E   -6.000 eV/atom
Space-group type   No. 129

Unit cell a=3.918 b=3.918 c=9.245 alpha=90.00 beta=90.00 gamma=90.00
Element x y z (fractional)
Pt 0.500 0.500 0.500
Zn 0.500 0.000 0.676
Pt 0.000 0.000 0.500
N 0.500 0.000 0.888
La 0.000 0.500 0.861
N 0.000 0.500 0.112
Zn 0.000 0.500 0.324
La 0.500 0.000 0.139



[5]
Density functional theory data (PBE-GGA) for crystalline La2ZnPtN at its relaxed geometry.

## Properties
Spin magnetization   0.000 μB/cell
DOS at the Fermi energy   3.25 states/eV/f.u.
E   -5.903 eV/atom
Space-group type   No. 123

Unit cell a=5.113 b=5.113 c=4.013 alpha=90.00 beta=90.00 gamma=90.00
Element x y z (fractional)
Pt 0.500 0.500 0.500
La 0.000 0.500 0.000
Zn 0.000 0.000 0.500
N 0.000 0.000 0.000
La 0.500 0.000 0.000



[6]
Density functional theory data (PBE-GGA) for crystalline LaZr2PtN4 at its relaxed geometry.

## Properties
Spin magnetization   0.000 μB/cell
DOS at the Fermi energy   1.83 states/eV/f.u.
E   -8.690 eV/atom
Space-group type   No. 63

Unit cell a=3.332 b=5.972 c=11.604 alpha=90.00 beta=90.00 gamma=106.20
Element x y z (fractional)
La 0.887 0.775 0.250
Zr 0.631 0.262 0.450
N 0.457 0.915 0.750
N 0.000 0.000 0.500
N 0.271 0.543 0.394
La 0.113 0.225 0.750
N 0.729 0.457 0.894
N 0.271 0.543 0.106
Zr 0.631 0.262 0.050
Zr 0.369 0.738 0.950
Pt 0.849 0.698 0.750
Pt 0.151 0.302 0.250
Zr 0.369 0.738 0.550
N 0.000 0.000 0.000
N 0.543 0.085 0.250
N 0.729 0.457 0.606